# K2MoH

K2MoH after structural relaxation (PBEsol, the Alexandria database).

## Properties
SG ... Fm-3m

```
K2MoH
1.0
-4.9135 2.7474 1.0486
-3.3634 -1.6940 4.3137
-0.5152 3.2602 4.6793
K Mo H
2 1 1
direct
0.2500 0.2500 0.2500
0.7500 0.7500 0.7500
0.5000 0.5000 0.5000
0.0000 0.0000 0.0000
```

***

# K4Mo2H6S2O9

K4Mo2H6S2O9 after structural relaxation (PBEsol, the Alexandria database).

## Properties
SG ... C2/c

```
K4Mo2H6S2O9
1.0
-3.7294 -4.3809 -2.7956
3.7107 -1.5012 -4.9894
7.9841 -14.9730 7.4230
O S H K Mo
18 4 12 8 4
direct
0.5383 0.8616 0.6748
0.4617 0.1384 0.3252
0.3034 0.0918 0.0726
0.5744 0.7538 0.5301
0.5778 0.4591 0.8503
0.9082 0.6966 0.4274
0.0918 0.3034 0.5726
0.8616 0.5383 0.1748
0.4222 0.5409 0.1497
0.2143 0.7857 0.2500
0.2462 0.4256 0.9699
0.1384 0.4617 0.8252
0.6966 0.9082 0.9274
0.7538 0.5744 0.0301
0.7857 0.2143 0.7500
0.4256 0.2462 0.4699
0.4591 0.5778 0.3503
0.5409 0.4222 0.6497
0.1049 0.7561 0.6223
0.2439 0.8951 0.8777
0.7561 0.1049 0.1223
0.8951 0.2439 0.3777
0.4561 0.0771 0.0806
0.0771 0.4561 0.5806
0.9229 0.5439 0.4194
0.2960 0.7131 0.2912
0.2845 0.2143 0.0335
0.2869 0.7040 0.2088
0.7040 0.2869 0.7088
0.2143 0.2845 0.5335
0.7155 0.7857 0.9665
0.7857 0.7155 0.4665
0.7131 0.2960 0.7912
0.5439 0.9229 0.9194
0.1962 0.2156 0.2149
0.7844 0.8038 0.2851
0.2575 0.8684 0.4397
0.8038 0.7844 0.7851
0.8684 0.2575 0.9397
0.2156 0.1962 0.7149
0.1316 0.7425 0.0603
0.7425 0.1316 0.5603
0.6927 0.4593 0.1199
0.4593 0.6927 0.6199
0.3073 0.5407 0.8801
0.5407 0.3073 0.3801
```

***

Number 1: E_tot -2.769 eV/atom. Number 2: E_tot -6.040 eV/atom.